(1)
First-principles (PBE with a Hubbard U) data for Rb2TmFeO4 after structural relaxation, as listed in Alexandria via LeMat-Bulk.

The structure in CIF format:
```
data_Rb2TmFeO4
_chemical_formula_sum 'Rb4 Tm2 Fe2 O8'
_cell_length_a 5.6114
_cell_length_b 6.9611
_cell_length_c 11.3616
_cell_angle_alpha 84.29
_cell_angle_beta 75.70
_cell_angle_gamma 66.23
_space_group_name_H-M_alt 'P 1'
_space_group_IT_number 1
loop_
_space_group_symop_operation_xyz
'x,y,z'
loop_
_atom_site_label
_atom_site_fract_x
_atom_site_fract_y
_atom_site_fract_z
O1 0.5992 0.1755 0.0828
O2 0.2252 0.1755 0.9172
O3 0.8576 0.8245 0.9172
O4 0.1508 0.3245 0.4172
O5 0.5248 0.3245 0.5828
O6 0.8924 0.6755 0.5828
O7 0.3180 0.8245 0.0828
O8 0.4320 0.6755 0.4172
Rb1 0.1845 0.0000 0.6310
Rb2 0.5655 0.5000 0.8690
Rb3 0.8155 0.0000 0.3690
Rb4 0.9345 0.5000 0.1310
Tm1 0.0000 0.0000 0.0000
Tm2 0.7500 0.5000 0.5000
Fe1 0.2500 0.5000 0.5000
Fe2 0.5000 0.0000 0.0000
```

**Space-group type**: Fddd
**Calculated total energy**: -5.81 eV/atom
**Crystal system**: orthorhombic

***

(2)
First-principles (PBE with a Hubbard U) data for RbTmFeO3 after structural relaxation, as listed in Alexandria via LeMat-Bulk.

The structure in CIF format:
```
data_RbTmFeO3
_chemical_formula_sum 'Rb2 Tm2 Fe2 O6'
_cell_length_a 3.6128
_cell_length_b 7.5246
_cell_length_c 9.6431
_cell_angle_alpha 114.89
_cell_angle_beta 90.00
_cell_angle_gamma 90.00
_space_group_name_H-M_alt 'P 1'
_space_group_IT_number 1
loop_
_space_group_symop_operation_xyz
'x,y,z'
loop_
_atom_site_label
_atom_site_fract_x
_atom_site_fract_y
_atom_site_fract_z
Fe1 0.2500 0.0248 0.6237
Fe2 0.7500 0.9752 0.3763
O1 0.2500 0.9066 0.3875
O2 0.7500 0.4789 0.1157
O3 0.2500 0.5211 0.8843
O4 0.2500 0.1181 0.8489
O5 0.7500 0.8819 0.1511
O6 0.7500 0.0934 0.6125
Tm1 0.7500 0.3213 0.8673
Tm2 0.2500 0.6787 0.1327
Rb1 0.2500 0.2156 0.1814
Rb2 0.7500 0.7844 0.8186
```

**Space-group type**: P2_1/m
**Calculated total energy**: -6.31 eV/atom
**Crystal system**: monoclinic

***

(3)
First-principles (PBE with a Hubbard U) data for Rb4Tm3FeO8 after structural relaxation, as listed in Alexandria via LeMat-Bulk.

The structure in CIF format:
```
data_Rb4Tm3FeO8
_chemical_formula_sum 'Rb4 Tm3 Fe1 O8'
_cell_length_a 6.7717
_cell_length_b 7.5904
_cell_length_c 6.7720
_cell_angle_alpha 116.50
_cell_angle_beta 120.00
_cell_angle_gamma 90.00
_space_group_name_H-M_alt 'P 1'
_space_group_IT_number 1
loop_
_space_group_symop_operation_xyz
'x,y,z'
loop_
_atom_site_label
_atom_site_fract_x
_atom_site_fract_y
_atom_site_fract_z
Tm1 0.5000 0.5000 0.0000
Tm2 0.5000 0.5000 0.5000
Tm3 0.0000 0.5000 0.5000
Rb1 0.0000 0.0000 0.0000
Rb2 0.5000 0.0000 0.0000
Rb3 0.5000 0.0000 0.5000
Rb4 0.0000 0.0000 0.5000
O1 0.7244 0.6733 0.4489
O2 0.2171 0.6708 0.9538
O3 0.7829 0.3292 0.0462
O4 0.7367 0.6708 0.9538
O5 0.2172 0.6709 0.4344
O6 0.7828 0.3291 0.5656
O7 0.2633 0.3292 0.0462
O8 0.2756 0.3267 0.5511
Fe1 0.0000 0.5000 0.0000
```

**Space-group type**: R-3m
**Calculated total energy**: -6.28 eV/atom
**Crystal system**: trigonal

***

(4)
First-principles (PBE with a Hubbard U) data for Rb3U2FeO9 after structural relaxation, as listed in Alexandria via LeMat-Bulk.

The structure in CIF format:
```
data_Rb3U2FeO9
_chemical_formula_sum 'Rb3 U2 Fe1 O9'
_cell_length_a 5.9759
_cell_length_b 5.9759
_cell_length_c 7.3315
_cell_angle_alpha 90.00
_cell_angle_beta 90.00
_cell_angle_gamma 120.00
_space_group_name_H-M_alt 'P 1'
_space_group_IT_number 1
loop_
_space_group_symop_operation_xyz
'x,y,z'
loop_
_atom_site_label
_atom_site_fract_x
_atom_site_fract_y
_atom_site_fract_z
O1 0.5000 0.0000 0.0000
O2 0.5000 0.5000 0.0000
O3 0.8329 0.6657 0.6662
O4 0.3343 0.1671 0.6662
O5 0.1671 0.8329 0.3338
O6 0.0000 0.5000 0.0000
O7 0.1671 0.3343 0.3338
O8 0.6657 0.8329 0.3338
O9 0.8329 0.1671 0.6662
Rb1 0.0000 0.0000 0.0000
Rb2 0.6667 0.3333 0.3374
Rb3 0.3333 0.6667 0.6626
U1 0.3333 0.6667 0.1796
U2 0.6667 0.3333 0.8204
Fe1 0.0000 0.0000 0.5000
```

**Space-group type**: P-3m1
**Calculated total energy**: -7.51 eV/atom
**Crystal system**: trigonal

***

(5)
First-principles (PBE with a Hubbard U) data for Rb2VFeO5 after structural relaxation, as listed in Alexandria via LeMat-Bulk.

The structure in CIF format:
```
data_Rb2VFeO5
_chemical_formula_sum 'Rb4 V2 Fe2 O10'
_cell_length_a 3.7776
_cell_length_b 8.5114
_cell_length_c 10.3599
_cell_angle_alpha 90.00
_cell_angle_beta 90.00
_cell_angle_gamma 102.82
_space_group_name_H-M_alt 'P 1'
_space_group_IT_number 1
loop_
_space_group_symop_operation_xyz
'x,y,z'
loop_
_atom_site_label
_atom_site_fract_x
_atom_site_fract_y
_atom_site_fract_z
O1 0.2917 0.5833 0.6030
O2 0.7083 0.4167 0.1030
O3 0.8358 0.6717 0.4658
O4 0.6462 0.2924 0.5210
O5 0.4458 0.8917 0.3997
O6 0.3538 0.7076 0.0210
O7 0.2923 0.5845 0.2885
O8 0.1642 0.3283 0.9658
O9 0.7077 0.4155 0.7885
O10 0.5542 0.1083 0.8997
V1 0.3459 0.6918 0.4333
V2 0.6541 0.3082 0.9333
Rb1 0.9301 0.8603 0.1738
Rb2 0.1205 0.2410 0.3395
Rb3 0.8795 0.7590 0.8395
Rb4 0.0699 0.1397 0.6738
Fe1 0.2570 0.5139 0.0993
Fe2 0.7430 0.4861 0.5993
```

**Space-group type**: Cmc2_1
**Calculated total energy**: -6.09 eV/atom
**Crystal system**: orthorhombic

***

(6)
First-principles (PBE with a Hubbard U) data for Rb2VFeO4 after structural relaxation, as listed in Alexandria via LeMat-Bulk.

The structure in CIF format:
```
data_Rb2VFeO4
_chemical_formula_sum 'Rb4 V2 Fe2 O8'
_cell_length_a 4.9798
_cell_length_b 6.5888
_cell_length_c 10.8838
_cell_angle_alpha 85.04
_cell_angle_beta 76.78
_cell_angle_gamma 67.80
_space_group_name_H-M_alt 'P 1'
_space_group_IT_number 1
loop_
_space_group_symop_operation_xyz
'x,y,z'
loop_
_atom_site_label
_atom_site_fract_x
_atom_site_fract_y
_atom_site_fract_z
O1 0.2378 0.1717 0.9059
O2 0.3155 0.8283 0.0941
O3 0.8562 0.8283 0.9059
O4 0.5904 0.1717 0.0941
O5 0.4345 0.6717 0.4059
O6 0.1596 0.3283 0.4059
O7 0.8938 0.6717 0.5941
O8 0.5122 0.3283 0.5941
Rb1 0.1721 0.0000 0.6558
Rb2 0.8279 0.0000 0.3442
Rb3 0.5779 0.5000 0.8442
Rb4 0.9221 0.5000 0.1558
V1 0.5000 0.0000 0.0000
V2 0.2500 0.5000 0.5000
Fe1 0.7500 0.5000 0.5000
Fe2 0.0000 0.0000 0.0000
```

**Space-group type**: Fddd
**Calculated total energy**: -5.94 eV/atom
**Crystal system**: orthorhombic

***

Let's list M_tot in order: 10.00, 4.00, 4.94, 4.95, 10.00, 6.00 Bohr magnetons per cell.